# 1
Hf2TcW | PBE | optimized geometry

Properties
ΔE_f in meV/atom: -125
DOS(E_F) in states/eV per cell: 6.44
Uncorrected energy in eV per cell: -43.7
M_tot in μB/f.u.: 0.00

Cell: 4.671 4.671 3.291 Å, 90.00 90.00 90.00°
Fractional positions:
Hf: 0.000 0.500 0.000
Hf: 0.500 0.000 0.000
Tc: 0.000 0.000 0.500
W: 0.500 0.500 0.500

---

# 2
HfTcW | PBE | optimized geometry

Properties
ΔE_f in meV/atom: -245
DOS(E_F) in states/eV per cell: 1.70
Uncorrected energy in eV per cell: -34.0
ΔE to the lowest computed polymorph in meV per atom: 24
M_tot in μB/f.u.: 0.00

Cell: 5.503 5.503 5.503 Å, 146.28 146.28 48.44°
Fractional positions:
Hf: 0.000 0.000 0.000
Tc: 0.329 0.329 0.000
W: 0.681 0.681 0.000

---

# 3
Hf4Tc5W | PBE | optimized geometry

Properties
ΔE_f in meV/atom: -420
DOS(E_F) in states/eV per cell: 7.96
Uncorrected energy in eV per cell: -108.8
M_tot in μB/f.u.: 0.00

Cell: 3.225 3.225 16.281 Å, 90.00 90.00 90.00°
Fractional positions:
Hf: 0.000 0.000 0.101
Hf: 0.000 0.000 0.302
Hf: 0.000 0.000 0.698
Hf: 0.000 0.000 0.899
Tc: 0.500 0.500 0.000
Tc: 0.500 0.500 0.203
Tc: 0.500 0.500 0.407
Tc: 0.500 0.500 0.593
Tc: 0.500 0.500 0.797
W: 0.000 0.000 0.500

---

# 4
HfTc4W | PBE | optimized geometry

Properties
ΔE_f in meV/atom: -29
DOS(E_F) in states/eV per cell: 6.49
Uncorrected energy in eV per cell: -64.5
M_tot in μB/f.u.: 0.00

Cell: 5.161 5.161 5.161 Å, 60.00 60.00 60.00°
Fractional positions:
Hf: 0.000 0.000 0.000
Tc: 0.374 0.374 0.374
Tc: 0.374 0.374 0.877
Tc: 0.374 0.877 0.374
Tc: 0.877 0.374 0.374
W: 0.750 0.750 0.750

---

# 5
HfTcW3 | PBE | optimized geometry

Properties
ΔE_f in meV/atom: 2761
DOS(E_F) in states/eV per cell: 10.35
Uncorrected energy in eV per cell: -45.4
ΔE to the lowest computed polymorph in meV per atom: 1212
M_tot in μB/f.u.: 0.00

Cell: 4.711 4.711 4.711 Å, 90.00 90.00 90.00°
Fractional positions:
Hf: 0.000 0.000 0.000
Tc: 0.500 0.500 0.500
W: 0.000 0.000 0.500
W: 0.000 0.500 0.000
W: 0.500 0.000 0.000

---

# 6
HfTc2W | PBE | optimized geometry

Properties
ΔE_f in meV/atom: 530
DOS(E_F) in states/eV per cell: 8.76
Uncorrected energy in eV per cell: -83.0
ΔE to the lowest computed polymorph in meV per atom: 877
M_tot in μB/f.u.: 0.00

Cell: 5.778 5.778 5.778 Å, 103.51 103.51 122.20°
Fractional positions:
Hf: 0.000 0.000 0.000
Hf: 0.750 0.250 0.500
Tc: 0.150 0.625 0.025
Tc: 0.375 0.400 0.525
Tc: 0.600 0.125 0.975
Tc: 0.875 0.850 0.475
W: 0.250 0.750 0.500
W: 0.500 0.500 0.000

---

# 7
Hf2Tc3W | PBE | optimized geometry

Properties
ΔE_f in meV/atom: -401
DOS(E_F) in states/eV per cell: 4.27
Uncorrected energy in eV per cell: -66.4
M_tot in μB/f.u.: 0.00

Cell: 7.184 7.184 3.208 Å, 90.00 90.00 142.94°
Fractional positions:
Hf: 0.166 0.834 0.000
Hf: 0.834 0.166 0.000
Tc: 0.000 0.000 0.500
Tc: 0.341 0.659 0.500
Tc: 0.659 0.341 0.500
W: 0.500 0.500 0.000

---

# 8
HfTcW | PBE | optimized geometry

Properties
ΔE_f in meV/atom: -15
DOS(E_F) in states/eV per cell: 6.51
Uncorrected energy in eV per cell: -100.0
ΔE to the lowest computed polymorph in meV per atom: 254
M_tot in μB/f.u.: 0.00

Cell: 6.492 6.492 4.505 Å, 90.00 90.00 120.00°
Fractional positions:
Hf: 0.000 0.431 0.000
Hf: 0.431 0.000 0.000
Hf: 0.569 0.569 0.000
Tc: 0.000 0.000 0.000
Tc: 0.333 0.667 0.500
Tc: 0.667 0.333 0.500
W: 0.000 0.758 0.500
W: 0.242 0.242 0.500
W: 0.758 0.000 0.500